{
  "formula": "CeHo2Sc4",
  "functional": "PBE",
  "state": "relaxed",
  "spacegroup": "R3m (160)",
  "final_energy_ev_per_atom": -5.7221,
  "polymorph_energy_mev_per_atom": 0.0,
  "e_form_ev_per_atom": 0.05,
  "lattice_angstrom": [[-1.999, -1.340, -2.393], [1.698, -2.028, 2.124], [-15.085, 2.150, 11.401]],
  "species": ["Ce", "Ho", "Ho", "Sc", "Sc", "Sc", "Sc"],
  "frac_coords": [[0.810, 0.621, 0.670], [0.619, 0.237, 0.093], [0.715, 0.429, 0.380], [0.903, 0.806, 0.948], [0.429, 0.858, 0.525], [0.000, 0.000, 0.236], [0.525, 0.051, 0.815]]
}